## a
The following is a GGA-PBE calculation of a geometry-optimized PtCCl3 structure, from Alexandria.

Unit cell a=4.841 b=4.841 c=4.841 alpha=90.00 beta=90.00 gamma=90.00
Fractional positions:
Pt (0.000, 0.000, 0.000)
C (0.500, 0.500, 0.500)
Cl (0.000, 0.000, 0.500)
Cl (0.000, 0.500, 0.000)
Cl (0.500, 0.000, 0.000)

## Properties
- Crystal system: cubic

## b
The following is a GGA-PBE calculation of a geometry-optimized PtCCl3 structure, from Alexandria.

Unit cell a=4.409 b=4.409 c=4.409 alpha=90.00 beta=90.00 gamma=90.00
Fractional positions:
Pt (0.000, 0.000, 0.000)
C (0.500, 0.500, 0.500)
Cl (0.000, 0.500, 0.500)
Cl (0.500, 0.000, 0.500)
Cl (0.500, 0.500, 0.000)

## Properties
- Crystal system: cubic

Q: Which of them is the most stable? A: a.

## a
The following is a GGA-PBE calculation of a geometry-optimized PtCSCl2 structure, from Alexandria.

Unit cell a=3.855 b=3.855 c=5.720 alpha=90.00 beta=90.00 gamma=90.00
Fractional positions:
Pt (0.000, 0.000, 0.000)
C (0.500, 0.500, 0.500)
S (0.500, 0.500, 0.000)
Cl (0.000, 0.500, 0.500)
Cl (0.500, 0.000, 0.500)

## Properties
- Crystal system: tetragonal

## b
The following is a GGA-PBE calculation of a geometry-optimized PtCSCl2 structure, from Alexandria.

Unit cell a=4.963 b=4.963 c=4.543 alpha=90.00 beta=90.00 gamma=90.00
Fractional positions:
Pt (0.000, 0.000, 0.000)
C (0.500, 0.500, 0.500)
S (0.000, 0.000, 0.500)
Cl (0.000, 0.500, 0.000)
Cl (0.500, 0.000, 0.000)

## Properties
- Crystal system: tetragonal

Q: Which of them is the most stable? A: a.

## a
The following is a GGA-PBE calculation of a geometry-optimized RbCCl3 structure, from Alexandria.

Unit cell a=6.134 b=6.134 c=6.134 alpha=90.00 beta=90.00 gamma=90.00
Fractional positions:
Rb (0.000, 0.000, 0.000)
C (0.500, 0.500, 0.500)
Cl (0.000, 0.000, 0.500)
Cl (0.000, 0.500, 0.000)
Cl (0.500, 0.000, 0.000)

## Properties
- Crystal system: cubic

## b
The following is a GGA-PBE calculation of a geometry-optimized RbCCl3 structure, from Alexandria.

Unit cell a=4.750 b=4.750 c=4.750 alpha=90.00 beta=90.00 gamma=90.00
Fractional positions:
Rb (0.000, 0.000, 0.000)
C (0.500, 0.500, 0.500)
Cl (0.000, 0.500, 0.500)
Cl (0.500, 0.000, 0.500)
Cl (0.500, 0.500, 0.000)

## Properties
- Crystal system: cubic

Q: Which of them is the most stable? A: b.

## a
The following is a GGA-PBE calculation of a geometry-optimized RbC3Cl structure, from Alexandria.

Unit cell a=5.906 b=5.906 c=5.906 alpha=90.00 beta=90.00 gamma=90.00
Fractional positions:
Rb (0.000, 0.000, 0.000)
C (0.000, 0.000, 0.500)
C (0.000, 0.500, 0.000)
C (0.500, 0.000, 0.000)
Cl (0.500, 0.500, 0.500)

## Properties
- Crystal system: cubic

## b
The following is a GGA-PBE calculation of a geometry-optimized RbC3Cl structure, from Alexandria.

Unit cell a=4.345 b=4.345 c=4.345 alpha=90.00 beta=90.00 gamma=90.00
Fractional positions:
Rb (0.000, 0.000, 0.000)
C (0.000, 0.500, 0.500)
C (0.500, 0.000, 0.500)
C (0.500, 0.500, 0.000)
Cl (0.500, 0.500, 0.500)

## Properties
- Crystal system: cubic

Q: Which of them is the most stable? A: b.

## a
The following is a GGA-PBE calculation of a geometry-optimized ReC3Cl structure, from Alexandria.

Unit cell a=3.640 b=3.640 c=3.640 alpha=90.00 beta=90.00 gamma=90.00
Fractional positions:
Re (0.000, 0.000, 0.000)
C (0.000, 0.500, 0.500)
C (0.500, 0.000, 0.500)
C (0.500, 0.500, 0.000)
Cl (0.500, 0.500, 0.500)

## Properties
- Crystal system: cubic

## b
The following is a GGA-PBE calculation of a geometry-optimized ReC3Cl structure, from Alexandria.

Unit cell a=4.102 b=4.102 c=4.102 alpha=90.00 beta=90.00 gamma=90.00
Fractional positions:
Re (0.000, 0.000, 0.000)
C (0.000, 0.000, 0.500)
C (0.000, 0.500, 0.000)
C (0.500, 0.000, 0.000)
Cl (0.500, 0.500, 0.500)

## Properties
- Crystal system: cubic

Q: Which of them is the most stable? A: b.

## a
The following is a GGA-PBE calculation of a geometry-optimized ReCSCl2 structure, from Alexandria.

Unit cell a=4.097 b=4.097 c=4.133 alpha=90.00 beta=90.00 gamma=90.00
Fractional positions:
Re (0.000, 0.000, 0.000)
C (0.500, 0.500, 0.500)
S (0.500, 0.500, 0.000)
Cl (0.000, 0.500, 0.500)
Cl (0.500, 0.000, 0.500)

## Properties
- Crystal system: tetragonal

## b
The following is a GGA-PBE calculation of a geometry-optimized ReCSCl2 structure, from Alexandria.

Unit cell a=4.841 b=4.841 c=4.516 alpha=90.00 beta=90.00 gamma=90.00
Fractional positions:
Re (0.000, 0.000, 0.000)
C (0.500, 0.500, 0.500)
S (0.000, 0.000, 0.500)
Cl (0.000, 0.500, 0.000)
Cl (0.500, 0.000, 0.000)

## Properties
- Crystal system: tetragonal

Q: Which of them is the most stable? A: b.

## a
The following is a GGA-PBE calculation of a geometry-optimized RhCCl3 structure, from Alexandria.

Unit cell a=4.761 b=4.761 c=4.761 alpha=90.00 beta=90.00 gamma=90.00
Fractional positions:
Rh (0.000, 0.000, 0.000)
C (0.500, 0.500, 0.500)
Cl (0.000, 0.000, 0.500)
Cl (0.000, 0.500, 0.000)
Cl (0.500, 0.000, 0.000)

## Properties
- Crystal system: cubic

## b
The following is a GGA-PBE calculation of a geometry-optimized RhCCl3 structure, from Alexandria.

Unit cell a=4.433 b=4.433 c=4.433 alpha=90.00 beta=90.00 gamma=90.00
Fractional positions:
Rh (0.000, 0.000, 0.000)
C (0.500, 0.500, 0.500)
Cl (0.000, 0.500, 0.500)
Cl (0.500, 0.000, 0.500)
Cl (0.500, 0.500, 0.000)

## Properties
- Crystal system: cubic

Q: Which of them is the most stable? A: a.

## a
The following is a GGA-PBE calculation of a geometry-optimized RhC3Cl structure, from Alexandria.

Unit cell a=3.631 b=3.631 c=3.631 alpha=90.00 beta=90.00 gamma=90.00
Fractional positions:
Rh (0.000, 0.000, 0.000)
C (0.000, 0.500, 0.500)
C (0.500, 0.000, 0.500)
C (0.500, 0.500, 0.000)
Cl (0.500, 0.500, 0.500)

## Properties
- Crystal system: cubic

## b
The following is a GGA-PBE calculation of a geometry-optimized RhC3Cl structure, from Alexandria.

Unit cell a=4.035 b=4.035 c=4.035 alpha=90.00 beta=90.00 gamma=90.00
Fractional positions:
Rh (0.000, 0.000, 0.000)
C (0.000, 0.000, 0.500)
C (0.000, 0.500, 0.000)
C (0.500, 0.000, 0.000)
Cl (0.500, 0.500, 0.500)

## Properties
- Crystal system: cubic

Q: Which of them is the most stable? A: b.

## a
The following is a GGA-PBE calculation of a geometry-optimized RhCSCl2 structure, from Alexandria.

Unit cell a=4.584 b=4.584 c=3.920 alpha=90.00 beta=90.00 gamma=90.00
Fractional positions:
Rh (0.000, 0.000, 0.000)
C (0.500, 0.500, 0.500)
S (0.500, 0.500, 0.000)
Cl (0.000, 0.500, 0.500)
Cl (0.500, 0.000, 0.500)

## Properties
- Crystal system: tetragonal

## b
The following is a GGA-PBE calculation of a geometry-optimized RhCSCl2 structure, from Alexandria.

Unit cell a=4.904 b=4.904 c=4.436 alpha=90.00 beta=90.00 gamma=90.00
Fractional positions:
Rh (0.000, 0.000, 0.000)
C (0.500, 0.500, 0.500)
S (0.000, 0.000, 0.500)
Cl (0.000, 0.500, 0.000)
Cl (0.500, 0.000, 0.000)

## Properties
- Crystal system: tetragonal

Q: Which of them is the most stable? A: a.

## a
The following is a GGA-PBE calculation of a geometry-optimized RuCCl2 structure, from Alexandria.

Unit cell a=6.905 b=6.905 c=6.905 alpha=137.86 beta=137.86 gamma=61.12
Fractional positions:
Ru (0.000, 0.000, 0.000)
Ru (0.750, 0.250, 0.500)
C (0.250, 0.750, 0.500)
C (0.500, 0.500, 0.000)
Cl (0.131, 0.625, 0.006)
Cl (0.375, 0.381, 0.506)
Cl (0.619, 0.125, 0.994)
Cl (0.875, 0.869, 0.494)

## Properties
- Crystal system: tetragonal

## b
The following is a GGA-PBE calculation of a geometry-optimized RuCCl2 structure, from Alexandria.

Unit cell a=4.293 b=4.293 c=4.293 alpha=60.00 beta=60.00 gamma=60.00
Fractional positions:
Ru (0.000, 0.000, 0.000)
C (0.500, 0.500, 0.500)
Cl (0.250, 0.250, 0.250)
Cl (0.750, 0.750, 0.750)

## Properties
- Crystal system: cubic

## c
The following is a GGA-PBE calculation of a geometry-optimized RuCCl2 structure, from Alexandria.

Unit cell a=7.654 b=7.654 c=7.654 alpha=23.43 beta=23.43 gamma=23.43
Fractional positions:
Ru (0.000, 0.000, 0.000)
C (0.500, 0.500, 0.500)
Cl (0.101, 0.101, 0.101)
Cl (0.899, 0.899, 0.899)

## Properties
- Crystal system: trigonal

Q: Which of them is the most stable? A: c.

## a
The following is a GGA-PBE calculation of a geometry-optimized RuC3Cl structure, from Alexandria.

Unit cell a=4.020 b=4.020 c=4.020 alpha=90.00 beta=90.00 gamma=90.00
Fractional positions:
Ru (0.000, 0.000, 0.000)
C (0.000, 0.000, 0.500)
C (0.000, 0.500, 0.000)
C (0.500, 0.000, 0.000)
Cl (0.500, 0.500, 0.500)

## Properties
- Crystal system: cubic

## b
The following is a GGA-PBE calculation of a geometry-optimized RuC3Cl structure, from Alexandria.

Unit cell a=3.629 b=3.629 c=3.629 alpha=90.00 beta=90.00 gamma=90.00
Fractional positions:
Ru (0.000, 0.000, 0.000)
C (0.000, 0.500, 0.500)
C (0.500, 0.000, 0.500)
C (0.500, 0.500, 0.000)
Cl (0.500, 0.500, 0.500)

## Properties
- Crystal system: cubic

Q: Which of them is the most stable? A: a.

## a
The following is a GGA-PBE calculation of a geometry-optimized Ru2CCl structure, from Alexandria.

Unit cell a=6.111 b=6.111 c=6.111 alpha=132.47 beta=132.47 gamma=69.48
Fractional positions:
Ru (0.049, 0.625, 0.924)
Ru (0.375, 0.299, 0.424)
Ru (0.701, 0.125, 0.076)
Ru (0.875, 0.951, 0.576)
C (0.000, 0.000, 0.000)
C (0.750, 0.250, 0.500)
Cl (0.250, 0.750, 0.500)
Cl (0.500, 0.500, 0.000)

## Properties
- Crystal system: tetragonal

## b
The following is a GGA-PBE calculation of a geometry-optimized Ru2CCl structure, from Alexandria.

Unit cell a=4.070 b=4.070 c=4.070 alpha=60.00 beta=60.00 gamma=60.00
Fractional positions:
Ru (0.250, 0.250, 0.250)
Ru (0.750, 0.750, 0.750)
C (0.000, 0.000, 0.000)
Cl (0.500, 0.500, 0.500)

## Properties
- Crystal system: cubic

Q: Which of them is the most stable? A: a.

## a
The following is a GGA-PBE calculation of a geometry-optimized RuC2Cl structure, from Alexandria.

Unit cell a=5.972 b=5.972 c=5.972 alpha=127.32 beta=127.32 gamma=77.73
Fractional positions:
Ru (0.000, 0.000, 0.000)
Ru (0.750, 0.250, 0.500)
C (0.003, 0.625, 0.878)
C (0.375, 0.253, 0.378)
C (0.747, 0.125, 0.122)
C (0.875, 0.997, 0.622)
Cl (0.250, 0.750, 0.500)
Cl (0.500, 0.500, 0.000)

## Properties
- Crystal system: tetragonal

## b
The following is a GGA-PBE calculation of a geometry-optimized RuC2Cl structure, from Alexandria.

Unit cell a=3.928 b=3.928 c=3.928 alpha=60.00 beta=60.00 gamma=60.00
Fractional positions:
Ru (0.000, 0.000, 0.000)
C (0.250, 0.250, 0.250)
C (0.750, 0.750, 0.750)
Cl (0.500, 0.500, 0.500)

## Properties
- Crystal system: cubic

Q: Which of them is the most stable? A: a.

## a
The following is a GGA-PBE calculation of a geometry-optimized SbCS2Cl structure, from Alexandria.

Unit cell a=5.091 b=5.091 c=5.134 alpha=90.00 beta=90.00 gamma=90.00
Fractional positions:
Sb (0.000, 0.000, 0.000)
C (0.500, 0.500, 0.500)
S (0.000, 0.500, 0.000)
S (0.500, 0.000, 0.000)
Cl (0.000, 0.000, 0.500)

## Properties
- Crystal system: tetragonal

## b
The following is a GGA-PBE calculation of a geometry-optimized SbCS2Cl structure, from Alexandria.

Unit cell a=4.313 b=4.313 c=4.380 alpha=90.00 beta=90.00 gamma=90.00
Fractional positions:
Sb (0.000, 0.000, 0.000)
C (0.500, 0.500, 0.500)
S (0.000, 0.500, 0.500)
S (0.500, 0.000, 0.500)
Cl (0.500, 0.500, 0.000)

## Properties
- Crystal system: tetragonal

Q: Which of them is the most stable? A: b.